! PBE Tb2SmUN4, relaxed; values from VASP
! Formation energy from raw total energies   -1550.8 meV/atom
! Calculated volume   121.0 Å³ per cell
&SYSTEM
  ibrav = 0, nat = 8, ntyp = 4
/
ATOMIC_SPECIES
Tb 158.93 Tb.upf
Sm 150.36 Sm.upf
U 238.03 U.upf
N 14.01 N.upf
CELL_PARAMETERS angstrom
-1.107 -2.923 1.576
4.293 0.655 4.231
-4.995 2.863 1.803
ATOMIC_POSITIONS crystal
Tb 0.500 0.000 0.500
Tb 0.000 0.500 0.500
Sm 0.500 0.500 0.000
U 0.000 0.000 0.000
N 0.500 0.233 0.239
N 0.500 0.767 0.761
N 0.000 0.228 0.761
N 0.000 0.772 0.239